[1]
Pr4SnPd: relaxed, GGA-PBE.

Properties
formation energy: -0.407 eV per atom
uncorrected energy: -61.510 eV per cell
space-group type: Cmcm (63)

Unit cell a=5.629 b=6.575 c=10.914 alpha=90.00 beta=104.94 gamma=90.00
Fractional positions:
Pr: 0.893 0.322 0.787
Pr: 0.107 0.822 0.213
Pr: 0.447 0.822 0.894
Pr: 0.553 0.322 0.106
Pr: 0.704 0.566 0.409
Pr: 0.296 0.066 0.591
Pr: 0.704 0.078 0.409
Pr: 0.296 0.578 0.591
Sn: 0.849 0.822 0.698
Sn: 0.151 0.322 0.302
Pd: 0.581 0.822 0.163
Pd: 0.419 0.322 0.837


[2]
PrSnPd: relaxed, GGA-PBE.

Properties
formation energy: -0.346 eV per atom
uncorrected energy: -30.028 eV per cell
space-group type: R-3m (166)

Unit cell a=4.421 b=4.421 c=10.541 alpha=77.89 beta=77.89 gamma=60.00
Each line ends with the local moment (μB).
Fractional positions:
Sn: 0.112 0.112 0.663  0.00
Sn: 0.888 0.888 0.337  0.00
Pr: 0.617 0.617 0.150  0.19
Pr: 0.383 0.383 0.850  0.19
Pd: 0.199 0.199 0.402  0.00
Pd: 0.801 0.801 0.598  0.00


[3]
PrSn2Pd: relaxed, GGA-PBE.

Properties
formation energy: -0.583 eV per atom
uncorrected energy: -20.310 eV per cell
space-group type: P4/mmm (123)

Unit cell a=4.590 b=4.574 c=4.574 alpha=90.00 beta=90.00 gamma=90.00
Fractional positions:
Pr: 0.500 0.500 0.500
Sn: 0.000 0.000 0.500
Sn: 0.000 0.500 0.000
Pd: 0.500 0.000 0.000


[4]
PrSn2Pd9: relaxed, GGA-PBE.

Properties
formation energy: -0.576 eV per atom
uncorrected energy: -66.431 eV per cell
space-group type: P4/mmm (123)

Unit cell a=4.124 b=4.124 c=12.181 alpha=90.00 beta=90.00 gamma=90.00
Fractional positions:
Pr: 0.000 0.000 0.000
Sn: 0.000 0.000 0.338
Sn: 0.000 0.000 0.662
Pd: 0.500 0.500 0.000
Pd: 0.500 0.500 0.340
Pd: 0.500 0.500 0.660
Pd: 0.500 0.000 0.179
Pd: 0.500 0.000 0.500
Pd: 0.500 0.000 0.821
Pd: 0.000 0.500 0.179
Pd: 0.000 0.500 0.500
Pd: 0.000 0.500 0.821


[5]
PrSnPd: relaxed, GGA-PBE.

Properties
formation energy: -0.898 eV per atom
uncorrected energy: -133.342 eV per cell
space-group type: Pmmn (59)

Unit cell a=4.750 b=8.075 c=15.166 alpha=90.00 beta=90.00 gamma=90.00
Fractional positions:
Pr: 0.500 0.789 0.745
Pr: 0.000 0.291 0.500
Pr: 0.500 0.703 0.500
Pr: 0.000 0.297 0.000
Pr: 0.000 0.211 0.755
Pr: 0.000 0.211 0.245
Pr: 0.500 0.709 0.000
Pr: 0.500 0.789 0.255
Sn: 0.000 0.911 0.600
Sn: 0.000 0.590 0.851
Sn: 0.500 0.410 0.351
Sn: 0.000 0.590 0.149
Sn: 0.500 0.410 0.649
Sn: 0.000 0.911 0.400
Sn: 0.500 0.089 0.100
Sn: 0.500 0.089 0.900
Pd: 0.000 0.922 0.109
Pd: 0.000 0.922 0.891
Pd: 0.500 0.418 0.845
Pd: 0.000 0.582 0.345
Pd: 0.500 0.418 0.155
Pd: 0.500 0.078 0.391
Pd: 0.500 0.078 0.609
Pd: 0.000 0.582 0.655


[6]
Pr8Sn2Pd: relaxed, GGA-PBE.

Properties
formation energy: -0.419 eV per atom
uncorrected energy: -56.046 eV per cell
space-group type: C2/m (12)

Unit cell a=5.153 b=7.071 c=10.301 alpha=104.33 beta=104.49 gamma=90.00
Fractional positions:
Pr: 0.407 0.526 0.815
Pr: 0.649 0.997 0.299
Pr: 0.785 0.681 0.570
Pr: 0.984 0.220 0.967
Pr: 0.215 0.319 0.430
Pr: 0.351 0.003 0.701
Pr: 0.593 0.474 0.185
Pr: 0.016 0.780 0.033
Sn: 0.819 0.246 0.637
Sn: 0.181 0.754 0.363
Pd: 0.500 0.000 0.000


[7]
PrSnPd2: relaxed, GGA-PBE.

Properties
formation energy: -0.821 eV per atom
uncorrected energy: -89.804 eV per cell
space-group type: Pnma (62)

Unit cell a=6.298 b=7.225 c=7.776 alpha=90.00 beta=90.00 gamma=90.00
Fractional positions:
Pr: 0.331 0.250 0.031
Pr: 0.831 0.750 0.469
Pr: 0.669 0.750 0.969
Pr: 0.169 0.250 0.531
Sn: 0.668 0.250 0.382
Sn: 0.168 0.750 0.118
Sn: 0.332 0.750 0.618
Sn: 0.832 0.250 0.882
Pd: 0.929 0.051 0.182
Pd: 0.429 0.949 0.318
Pd: 0.071 0.551 0.818
Pd: 0.571 0.449 0.682
Pd: 0.071 0.949 0.818
Pd: 0.571 0.051 0.682
Pd: 0.929 0.449 0.182
Pd: 0.429 0.551 0.318


[8]
PrSn2Pd5: relaxed, GGA-PBE.

Properties
formation energy: -0.619 eV per atom
uncorrected energy: -43.703 eV per cell
space-group type: Immm (71)

Unit cell a=4.320 b=5.851 c=7.319 alpha=113.56 beta=107.16 gamma=90.00
Fractional positions:
Pr: 0.000 0.000 0.000
Sn: 0.214 0.714 0.427
Sn: 0.786 0.286 0.573
Pd: 0.000 0.500 0.000
Pd: 0.384 0.620 0.768
Pd: 0.616 0.380 0.232
Pd: 0.616 0.853 0.232
Pd: 0.384 0.147 0.768


[9]
PrSnPd3: relaxed, GGA-PBE.

Properties
formation energy: -0.641 eV per atom
uncorrected energy: -55.129 eV per cell
space-group type: Cmcm (63)

Unit cell a=5.274 b=5.926 c=7.203 alpha=114.29 beta=90.00 gamma=90.00
Fractional positions:
Pr: 0.750 0.593 0.186
Pr: 0.250 0.407 0.814
Sn: 0.750 0.186 0.372
Sn: 0.250 0.814 0.628
Pd: 0.750 0.605 0.698
Pd: 0.750 0.093 0.698
Pd: 0.250 0.907 0.302
Pd: 0.250 0.395 0.302
Pd: 0.000 0.000 0.000
Pd: 0.500 0.000 0.000


[10]
PrSnPd3: relaxed, GGA-PBE.

Properties
formation energy: -0.473 eV per atom
uncorrected energy: -53.454 eV per cell
space-group type: Pbam (55)

Unit cell a=5.305 b=7.723 c=5.589 alpha=90.00 beta=90.00 gamma=90.00
Fractional positions:
Pr: 0.500 0.000 0.000
Pr: 0.500 0.500 0.500
Sn: 0.000 0.500 0.000
Sn: 0.000 0.000 0.500
Pd: 0.500 0.500 0.000
Pd: 0.500 0.000 0.500
Pd: 0.000 0.672 0.415
Pd: 0.000 0.172 0.085
Pd: 0.000 0.328 0.585
Pd: 0.000 0.828 0.915


[11]
Pr2Sn3Pd4: relaxed, GGA-PBE.

Properties
formation energy: -0.771 eV per atom
uncorrected energy: -98.553 eV per cell
space-group type: Cmce (64)

Unit cell a=6.300 b=7.547 c=8.839 alpha=90.00 beta=110.88 gamma=90.00
Fractional positions:
Pr: 0.105 0.587 0.210
Pr: 0.895 0.413 0.790
Pr: 0.395 0.087 0.790
Pr: 0.605 0.913 0.210
Sn: 0.000 0.000 0.000
Sn: 0.500 0.500 0.000
Sn: 0.513 0.750 0.525
Sn: 0.987 0.250 0.475
Sn: 0.487 0.250 0.475
Sn: 0.013 0.750 0.525
Pd: 0.682 0.750 0.864
Pd: 0.818 0.250 0.136
Pd: 0.318 0.250 0.136
Pd: 0.182 0.750 0.864
Pd: 0.169 0.986 0.338
Pd: 0.831 0.014 0.662
Pd: 0.331 0.486 0.662
Pd: 0.669 0.514 0.338